A plane-wave DFT calculation with PBE with a Hubbard U was carried out for Ba2AcW3O12 after structural relaxation.

a b c (Å): 7.1687 7.1687 7.1687
angles (deg): 63.79 63.79 63.79
With the nearest neighbours (Å) after each atom.
Fractional coordinates of all 18 atoms:
Ba: 0.6208 0.6208 0.6208  3 O 2.58
Ba: 0.3792 0.3792 0.3792  3 O 2.58
Ac: 0.0000 0.0000 0.0000  6 O 2.64
W: 0.5000 0.0000 0.0000  6 O 1.91-1.99
W: 0.0000 0.5000 0.0000  6 O 1.91-1.99
W: 0.0000 0.0000 0.5000  6 O 1.91-1.99
O: 0.2729 0.2729 0.9013  2 W 1.99
O: 0.8683 0.8683 0.4310  1 W 1.91
O: 0.4310 0.8683 0.8683  1 W 1.91
O: 0.9013 0.2729 0.2729  2 W 1.99
O: 0.8683 0.4310 0.8683  1 W 1.91
O: 0.2729 0.9013 0.2729  2 W 1.99
O: 0.7271 0.7271 0.0987  2 W 1.99
O: 0.1317 0.1317 0.5690  1 W 1.91
O: 0.5690 0.1317 0.1317  1 W 1.91
O: 0.0987 0.7271 0.7271  2 W 1.99
O: 0.1317 0.5690 0.1317  1 W 1.91
O: 0.7271 0.0987 0.7271  2 W 1.99

## Properties
Total magnetization in μB per formula unit: 1.00
Energy in Ha/atom: -0.2728
Space group: R-3m